DFT (PBE-GGA) results for NdSm6Ni3 after structural relaxation.

The magnetic moment is 0.00 μB per formula unit. As for the formation energy: -0.1677 eV/atom.

The structure belongs to space group Cmc2_1 (No. 36); the cell edges are 11.346, 13.210 and 7.140 Å and the angles 90.00°, 90.00° and 90.00°. Symmetry generates all atoms from Nd at (0.000, 0.178, 0.000), Sm at (0.000, 0.272, 0.536), Sm at (0.000, 0.468, 0.883), Sm at (0.168, 0.039, 0.374), Sm at (0.225, 0.308, 0.226), Ni at (0.000, 0.078, 0.667) and Ni at (0.190, 0.398, 0.590).

=====

DFT (PBE-GGA) results for NdSm4Ni2 after structural relaxation.

The magnetic moment is 0.00 μB per formula unit. As for the formation energy: -0.0963 eV/atom.

The structure belongs to space group P2_1/m (No. 11); the cell edges are 7.466, 6.643 and 8.185 Å and the angles 90.00°, 112.48° and 90.00°. Symmetry generates all atoms from Nd at (0.138, 0.250, 0.025), Sm at (0.029, 0.250, 0.386), Sm at (0.254, 0.750, 0.353), Sm at (0.406, 0.008, 0.768), Ni at (0.267, 0.750, 0.998) and Ni at (0.382, 0.250, 0.401).

=====

DFT (PBE-GGA) results for NdSmNi after structural relaxation.

The magnetic moment is 0.00 μB per formula unit. As for the formation energy: -0.2228 eV/atom. As for the energy above the lowest structure with this stoichiometry: 0.000 eV per atom.

The structure belongs to space group C2/m (No. 12); the cell edges are 12.463, 3.782 and 8.263 Å and the angles 90.00°, 126.49° and 90.00°. Symmetry generates all atoms from Nd at (0.168, 0.000, 0.077), Sm at (0.086, 0.500, 0.387) and Ni at (0.123, 0.000, 0.676).

=====

DFT (PBE-GGA) results for NdSm5Ni2 after structural relaxation.

The magnetic moment is 0.00 μB per formula unit. As for the formation energy: -0.1030 eV/atom.

The structure belongs to space group Cmcm (No. 63); the cell edges are 3.729, 13.267 and 18.641 Å and the angles 90.00°, 90.00° and 90.00°. Symmetry generates all atoms from Nd at (0.000, 0.193, 0.250), Sm at (0.000, 0.080, 0.750), Sm at (0.000, 0.171, 0.059), Sm at (0.000, 0.438, 0.091) and Ni at (0.000, 0.213, 0.636).

=====

DFT (PBE-GGA) results for NdSmNi after structural relaxation.

The magnetic moment is 0.00 μB per formula unit. As for the formation energy: -0.0345 eV/atom. As for the energy above the lowest structure with this stoichiometry: 0.188 eV per atom.

The structure belongs to space group P3m1 (No. 156); the cell edges are 4.5753, 4.5753 and 4.2686 Å and the angles 90.00°, 90.00° and 120.00°. Symmetry generates all atoms from Nd at (0.0000, 0.0000, 0.0000), Sm at (0.3333, 0.6667, 0.4752) and Ni at (0.6667, 0.3333, 0.7130).

=====

DFT (PBE-GGA) results for NdSm3Ni2 after structural relaxation.

The magnetic moment is 0.00 μB per formula unit. As for the formation energy: -0.2250 eV/atom.

The structure belongs to space group C2/m (No. 12); the cell edges are 16.479, 3.951 and 11.751 Å and the angles 90.00°, 123.92° and 90.00°. Symmetry generates all atoms from Nd at (0.153, 0.000, 0.247), Sm at (0.082, 0.500, 0.443), Sm at (0.083, 0.500, 0.941), Sm at (0.155, 0.000, 0.749), Ni at (0.232, 0.000, 0.048) and Ni at (0.232, 0.000, 0.549).

=====

DFT (PBE-GGA) results for Nd4SmNi2 after structural relaxation.

The magnetic moment is 0.00 μB per formula unit. As for the formation energy: -0.0748 eV/atom.

The structure belongs to space group P2_1/m (No. 11); the cell edges are 7.610, 6.694 and 8.251 Å and the angles 90.00°, 113.79° and 90.00°. Symmetry generates all atoms from Nd at (0.022, 0.250, 0.379), Nd at (0.257, 0.750, 0.355), Nd at (0.410, 0.010, 0.770), Sm at (0.142, 0.250, 0.027), Ni at (0.253, 0.750, 0.997) and Ni at (0.375, 0.250, 0.394).

=====

DFT (PBE-GGA) results for Nd3Sm3Ni2 after structural relaxation.

The magnetic moment is 0.00 μB per formula unit. As for the formation energy: -0.0955 eV/atom.

The structure belongs to space group Cmcm (No. 63); the cell edges are 3.748, 13.445 and 18.740 Å and the angles 90.00°, 90.00° and 90.00°. Symmetry generates all atoms from Nd at (0.000, 0.046, 0.250), Nd at (0.000, 0.175, 0.563), Sm at (0.000, 0.230, 0.750), Sm at (0.000, 0.437, 0.587) and Ni at (0.000, 0.199, 0.138).